Entry from Alexandria: crystalline CoAg3Br2F6 at its relaxed geometry (GGA+U).

Raw total energy   -3.444 eV/atom
ρ   5.28 Mg/m³
DOS(E_F)   21.84 states/eV per cell

abc: 12.1367 6.2649 5.4332
angles: 90.00 92.21 90.00
Last column: nearest neighbours and their distance in Å.
Space group C2/m (No. 12)
Symmetry-distinct sites (fractional):
Co  0.0000  0.0000  0.0000 x2  6 F 1.84-1.88
Ag  0.0000  0.5000  0.5000 x2  2 Br 2.58, 4 F 2.60
Ag  0.2500  0.2500  0.0000 x4  4 F 2.39-2.49, 2 Br 2.59
Br  0.2004  0.5000  0.3594 x4  3 Ag 2.58-2.59
F  0.0682  0.2150  0.8196 x8  1 Co 1.88
F  0.1239  0.0000  0.2062 x4  1 Co 1.84